(i)
Entry from the Alexandria database: BeVN2F after structural relaxation (PBE with a Hubbard U).

POSCAR file:
```
BeVN2F
1.0
3.5500 0.0000 0.0000
0.0000 3.5500 0.0000
0.0000 0.0000 3.3780
V N Be F
1 2 1 1
Cartesian
1.7750 1.7750 1.6890 V
0.0000 1.7750 0.0000 N
1.7750 0.0000 0.0000 N
0.0000 0.0000 0.0000 Be
0.0000 0.0000 1.6890 F
```


(ii)
Entry from the Alexandria database: BeVN2F after structural relaxation (PBE with a Hubbard U).

POSCAR file:
```
BeVN2F
1.0
-2.3984 0.7758 -2.8718
1.4035 -2.9575 -1.9710
-2.5957 -2.2681 1.5551
Be N V F
1 2 1 1
Cartesian
-1.7953 -2.2249 -1.6439 Be
-1.1992 0.3879 -1.4359 N
0.7017 -1.4788 -0.9855 N
0.0000 0.0000 0.0000 V
-1.2978 -1.1341 0.7775 F
```


Most stable: (i) (next structure +0.254 eV/atom)


(i)
Entry from the Alexandria database: BeWN2F after structural relaxation (PBE with a Hubbard U).

POSCAR file:
```
BeWN2F
1.0
-0.4768 -3.8719 0.9024
3.0522 0.2259 2.5820
-2.5853 1.0101 2.9678
F N W Be
1 2 1 1
Cartesian
-1.2927 0.5050 1.4839 F
-0.2384 -1.9360 0.4512 N
1.5261 0.1129 1.2910 N
0.0000 0.0000 0.0000 W
-0.0050 -1.3180 3.2261 Be
```


(ii)
Entry from the Alexandria database: BeWN2F after structural relaxation (PBE with a Hubbard U).

POSCAR file:
```
BeWN2F
1.0
3.7256 0.0000 0.0000
0.0000 3.7256 0.0000
0.0000 0.0000 3.1881
W N F Be
1 2 1 1
Cartesian
1.8628 1.8628 1.5941 W
0.0000 1.8628 0.0000 N
1.8628 0.0000 0.0000 N
0.0000 0.0000 1.5941 F
0.0000 0.0000 0.0000 Be
```


Most stable: (ii) (next structure +0.342 eV/atom)